1.
! Re5As | Alexandria | GGA-PBE | relaxed; values from VASP
! - E above lowest polymorph (meV per atom) = 0
! - Fermi-level density of states (states/eV per cell) = 5.4
! - calculated formation energy (eV/atom) = 0.16
! - energy (eV/atom) = -10.989
&SYSTEM
  ibrav = 0, nat = 6, ntyp = 2
/
ATOMIC_SPECIES
Re 186.21 Re.upf
As 74.92 As.upf
CELL_PARAMETERS angstrom
2.8780 0.0000 0.0000
0.0000 2.8780 0.0000
0.0000 0.0000 10.7872
ATOMIC_POSITIONS crystal
Re 0.0000 0.0000 0.0000
Re 0.0000 0.0000 0.3437
Re 0.0000 0.0000 0.6563
Re 0.5000 0.5000 0.1775
Re 0.5000 0.5000 0.8225
As 0.5000 0.5000 0.5000

***

2.
! AcTb4Pr15 | Alexandria | GGA-PBE | relaxed; values from VASP
! - Fermi-level density of states (states/eV per cell) = 30.0
! - calculated formation energy (eV/atom) = 0.02
! - energy (eV/atom) = -4.699
&SYSTEM
  ibrav = 0, nat = 20, ntyp = 3
/
ATOMIC_SPECIES
Ac 227.00 Ac.upf
Tb 158.93 Tb.upf
Pr 140.91 Pr.upf
CELL_PARAMETERS angstrom
5.2374 0.0000 0.0000
0.0000 5.2374 0.0000
0.0000 0.0000 26.0944
ATOMIC_POSITIONS crystal
Ac 0.0000 0.0000 0.0000
Tb 0.0000 0.0000 0.2035
Tb 0.0000 0.0000 0.4014
Tb 0.0000 0.0000 0.5986
Tb 0.0000 0.0000 0.7965
Pr 0.0000 0.5000 0.1049
Pr 0.0000 0.5000 0.3026
Pr 0.0000 0.5000 0.5000
Pr 0.0000 0.5000 0.6974
Pr 0.0000 0.5000 0.8951
Pr 0.5000 0.0000 0.1049
Pr 0.5000 0.0000 0.3026
Pr 0.5000 0.0000 0.5000
Pr 0.5000 0.0000 0.6974
Pr 0.5000 0.0000 0.8951
Pr 0.5000 0.5000 0.0000
Pr 0.5000 0.5000 0.2045
Pr 0.5000 0.5000 0.4014
Pr 0.5000 0.5000 0.5986
Pr 0.5000 0.5000 0.7955

***

3.
! Sn4HgBi | Alexandria | GGA-PBE | relaxed; values from VASP
! - E above lowest polymorph (meV per atom) = 60
! - Fermi-level density of states (states/eV per cell) = 5.1
! - calculated formation energy (eV/atom) = 0.19
! - energy (eV/atom) = -3.177
&SYSTEM
  ibrav = 0, nat = 6, ntyp = 3
/
ATOMIC_SPECIES
Sn 118.71 Sn.upf
Hg 200.59 Hg.upf
Bi 208.98 Bi.upf
CELL_PARAMETERS angstrom
0.0000 4.4553 4.4553
4.4553 0.0000 4.4553
4.4553 4.4553 0.0000
ATOMIC_POSITIONS crystal
Sn 0.1254 0.1254 0.1254
Sn 0.1254 0.1254 0.6239
Sn 0.1254 0.6239 0.1254
Sn 0.6239 0.1254 0.1254
Hg 0.5000 0.5000 0.5000
Bi 0.7500 0.7500 0.7500

***

4.
! ZnCd2Ir | Alexandria | GGA-PBE | relaxed; values from VASP
! - Fermi-level density of states (states/eV per cell) = 3.7
! - calculated formation energy (eV/atom) = 0.22
! - energy (eV/atom) = -2.769
&SYSTEM
  ibrav = 0, nat = 4, ntyp = 3
/
ATOMIC_SPECIES
Zn 65.41 Zn.upf
Cd 112.41 Cd.upf
Ir 192.22 Ir.upf
CELL_PARAMETERS angstrom
1.4703 0.8489 9.6004
-1.4703 0.8489 9.6004
0.0000 -1.6978 9.6004
ATOMIC_POSITIONS crystal
Zn 0.0000 0.0000 0.0000
Cd 0.2464 0.2464 0.2464
Cd 0.7536 0.7536 0.7536
Ir 0.5000 0.5000 0.5000

***

5.
! ZnAgAu2 | Alexandria | GGA-PBE | relaxed; values from VASP
! - Fermi-level density of states (states/eV per cell) = 1.2
! - calculated formation energy (eV/atom) = -0.11
! - energy (eV/atom) = -2.778
&SYSTEM
  ibrav = 0, nat = 4, ntyp = 3
/
ATOMIC_SPECIES
Zn 65.41 Zn.upf
Ag 107.87 Ag.upf
Au 196.97 Au.upf
CELL_PARAMETERS angstrom
-1.8041 2.1526 4.4276
1.8041 -2.1526 4.4276
1.8041 2.1526 -4.4276
ATOMIC_POSITIONS crystal
Zn 0.0000 0.0000 0.0000
Ag 0.2382 0.7382 0.5000
Au 0.5074 0.5074 0.0000
Au 0.7732 0.2732 0.5000

***

6.
! Ba7Na2Au2 | Alexandria | GGA-PBE | relaxed; values from VASP
! - E above lowest polymorph (meV per atom) = 0
! - Fermi-level density of states (states/eV per cell) = 11.4
! - calculated formation energy (eV/atom) = -0.26
! - energy (eV/atom) = -2.324
&SYSTEM
  ibrav = 0, nat = 11, ntyp = 3
/
ATOMIC_SPECIES
Ba 137.33 Ba.upf
Na 22.99 Na.upf
Au 196.97 Au.upf
CELL_PARAMETERS angstrom
-2.2417 10.3820 5.8392
2.2417 -10.3820 5.8392
2.2417 10.3820 -5.8392
ATOMIC_POSITIONS crystal
Ba 0.0000 0.0000 0.0000
Ba 0.0762 0.3888 0.6874
Ba 0.0876 0.7362 0.3514
Ba 0.3848 0.7362 0.6486
Ba 0.4373 0.5805 0.8569
Ba 0.7014 0.3888 0.3126
Ba 0.7236 0.5805 0.1431
Na 0.3636 0.3636 0.0000
Na 0.7121 0.2121 0.5000
Au 0.3398 0.0994 0.2404
Au 0.8589 0.0994 0.7596

***

7.
! ScIr2RhCl | Alexandria | GGA-PBE | relaxed; values from VASP
! - Fermi-level density of states (states/eV per cell) = 5.0
! - formation energy (no corrections) (eV/atom) = 0.910
! - energy (eV/atom) = -5.740
&SYSTEM
  ibrav = 0, nat = 5, ntyp = 4
/
ATOMIC_SPECIES
Sc 44.96 Sc.upf
Ir 192.22 Ir.upf
Rh 102.91 Rh.upf
Cl 35.45 Cl.upf
CELL_PARAMETERS angstrom
4.6837 0.0000 0.0000
0.0000 4.6837 0.0000
0.0000 0.0000 5.1978
ATOMIC_POSITIONS crystal
Sc 0.0000 0.0000 0.0000
Ir 0.0000 0.5000 0.5000
Ir 0.5000 0.0000 0.5000
Rh 0.0000 0.0000 0.5000
Cl 0.5000 0.5000 0.0000

***

8.
! VCuTc3 | Alexandria | GGA-PBE | relaxed; values from VASP
! - E above lowest polymorph (meV per atom) = 294
! - Fermi-level density of states (states/eV per cell) = 9.1
! - calculated formation energy (eV/atom) = 1.67
! - energy (eV/atom) = -7.190
&SYSTEM
  ibrav = 0, nat = 5, ntyp = 3
/
ATOMIC_SPECIES
V 50.94 V.upf
Cu 63.55 Cu.upf
Tc 98.00 Tc.upf
CELL_PARAMETERS angstrom
4.4181 0.0000 0.0000
0.0000 4.4181 0.0000
0.0000 0.0000 4.4181
ATOMIC_POSITIONS crystal
V 0.0000 0.0000 0.0000
Cu 0.5000 0.5000 0.5000
Tc 0.0000 0.5000 0.5000
Tc 0.5000 0.0000 0.5000
Tc 0.5000 0.5000 0.0000

***

9.
! Pr2ZnGe2Rh5 | Alexandria | GGA-PBE | relaxed; values from VASP
! - Fermi-level density of states (states/eV per cell) = 6.1
! - calculated formation energy (eV/atom) = -0.65
! - energy (eV/atom) = -6.330
&SYSTEM
  ibrav = 0, nat = 20, ntyp = 4
/
ATOMIC_SPECIES
Pr 140.91 Pr.upf
Zn 65.41 Zn.upf
Ge 72.64 Ge.upf
Rh 102.91 Rh.upf
CELL_PARAMETERS angstrom
9.9690 0.0000 0.0000
0.0000 9.9690 0.0000
0.0000 0.0000 3.5789
ATOMIC_POSITIONS crystal
Pr 0.1749 0.3251 0.0000
Pr 0.3251 0.8251 0.0000
Pr 0.6749 0.1749 0.0000
Pr 0.8251 0.6749 0.0000
Zn 0.0000 0.0000 0.0000
Zn 0.5000 0.5000 0.0000
Ge 0.1243 0.6243 0.0000
Ge 0.3757 0.1243 0.0000
Ge 0.6243 0.8757 0.0000
Ge 0.8757 0.3757 0.0000
Rh 0.0000 0.5000 0.5000
Rh 0.0647 0.7921 0.5000
Rh 0.2079 0.0647 0.5000
Rh 0.2921 0.5647 0.5000
Rh 0.4353 0.2921 0.5000
Rh 0.5000 0.0000 0.5000
Rh 0.5647 0.7079 0.5000
Rh 0.7079 0.4353 0.5000
Rh 0.7921 0.9353 0.5000
Rh 0.9353 0.2079 0.5000

***

10.
! ZrAg3 | Alexandria | GGA-PBE | relaxed; values from VASP
! - Fermi-level density of states (states/eV per cell) = 2.8
! - calculated formation energy (eV/atom) = 0.02
! - energy (eV/atom) = -4.257
&SYSTEM
  ibrav = 0, nat = 4, ntyp = 2
/
ATOMIC_SPECIES
Zr 91.22 Zr.upf
Ag 107.87 Ag.upf
CELL_PARAMETERS angstrom
-2.2117 2.2117 3.8649
2.2117 -2.2117 3.8649
2.2117 2.2117 -3.8649
ATOMIC_POSITIONS crystal
Zr 0.0000 0.0000 0.0000
Ag 0.2500 0.7500 0.5000
Ag 0.5000 0.5000 0.0000
Ag 0.7500 0.2500 0.5000

***

11.
! In4CoNi | Alexandria | GGA-PBE | relaxed; values from VASP
! - Fermi-level density of states (states/eV per cell) = 9.7
! - calculated formation energy (eV/atom) = 0.86
! - energy (eV/atom) = -3.109
&SYSTEM
  ibrav = 0, nat = 6, ntyp = 3
/
ATOMIC_SPECIES
In 114.82 In.upf
Co 58.93 Co.upf
Ni 58.69 Ni.upf
CELL_PARAMETERS angstrom
0.0000 4.0605 4.0605
4.0605 0.0000 4.0605
4.0605 4.0605 0.0000
ATOMIC_POSITIONS crystal
In 0.1249 0.1249 0.1249
In 0.1249 0.1249 0.6252
In 0.1249 0.6252 0.1249
In 0.6252 0.1249 0.1249
Co 0.5000 0.5000 0.5000
Ni 0.7500 0.7500 0.7500

***

12.
! BaZrAl2 | Alexandria | GGA-PBE | relaxed; values from VASP
! - E above lowest polymorph (meV per atom) = 326
! - Fermi-level density of states (states/eV per cell) = 3.7
! - calculated formation energy (eV/atom) = 0.15
! - energy (eV/atom) = -4.339
&SYSTEM
  ibrav = 0, nat = 4, ntyp = 3
/
ATOMIC_SPECIES
Ba 137.33 Ba.upf
Zr 91.22 Zr.upf
Al 26.98 Al.upf
CELL_PARAMETERS angstrom
5.6545 0.0000 0.0000
0.0000 5.6545 0.0000
0.0000 0.0000 3.1306
ATOMIC_POSITIONS crystal
Ba 0.0000 0.0000 0.0000
Zr 0.5000 0.5000 0.0000
Al 0.0000 0.5000 0.5000
Al 0.5000 0.0000 0.5000

***

13.
! BaNa2PaO4 | Alexandria | GGA-PBE | relaxed; values from VASP
! - Fermi-level density of states (states/eV per cell) = 3.0
! - formation energy (no corrections) (eV/atom) = -2.478
! - energy (eV/atom) = -6.714
&SYSTEM
  ibrav = 0, nat = 8, ntyp = 4
/
ATOMIC_SPECIES
Ba 137.33 Ba.upf
Na 22.99 Na.upf
Pa 231.04 Pa.upf
O 16.00 O.upf
CELL_PARAMETERS angstrom
-2.3857 2.3857 6.2191
2.3857 -2.3857 6.2191
2.3857 2.3857 -6.2191
ATOMIC_POSITIONS crystal
Ba 0.0000 0.0000 0.0000
Na 0.5000 0.5000 0.0000
Na 0.7500 0.2500 0.5000
Pa 0.2500 0.7500 0.5000
O 0.0756 0.5756 0.5000
O 0.2394 0.2394 0.0000
O 0.4244 0.9244 0.5000
O 0.7606 0.7606 0.0000

***

14.
! PuSbPt6 | Alexandria | GGA-PBE | relaxed; values from VASP
! - Fermi-level density of states (states/eV per cell) = 12.7
! - formation energy (no corrections) (eV/atom) = -0.115
! - energy (eV/atom) = -6.953
&SYSTEM
  ibrav = 0, nat = 8, ntyp = 3
/
ATOMIC_SPECIES
Pu 244.00 Pu.upf
Sb 121.76 Sb.upf
Pt 195.08 Pt.upf
CELL_PARAMETERS angstrom
3.7606 2.1712 3.3031
-3.7606 2.1712 3.3031
0.0000 -4.3424 3.3031
ATOMIC_POSITIONS crystal
Pu 0.0000 0.0000 0.0000
Sb 0.5000 0.5000 0.5000
Pt 0.1677 0.1677 0.5399
Pt 0.1677 0.5399 0.1677
Pt 0.4601 0.8323 0.8323
Pt 0.5399 0.1677 0.1677
Pt 0.8323 0.4601 0.8323
Pt 0.8323 0.8323 0.4601

***

15.
! NaTcBr6 | Alexandria | GGA-PBE | relaxed; values from VASP
! - Fermi-level density of states (states/eV per cell) = 4.1
! - formation energy (no corrections) (eV/atom) = -0.559
! - energy (eV/atom) = -3.274
&SYSTEM
  ibrav = 0, nat = 8, ntyp = 3
/
ATOMIC_SPECIES
Na 22.99 Na.upf
Tc 98.00 Tc.upf
Br 79.90 Br.upf
CELL_PARAMETERS angstrom
3.7902 -5.6934 0.0000
3.7902 5.6934 0.0000
-2.2513 0.0000 6.1476
ATOMIC_POSITIONS crystal
Na 0.0000 0.0000 0.0000
Tc 0.5000 0.5000 0.5000
Br 0.1315 0.4476 0.2747
Br 0.3188 0.3188 0.7514
Br 0.4476 0.1315 0.2747
Br 0.5524 0.8685 0.7253
Br 0.6812 0.6812 0.2486
Br 0.8685 0.5524 0.7253

***

16.
! Li3Mg5I12 | Alexandria | GGA-PBE | relaxed; values from VASP
! - Fermi-level density of states (states/eV per cell) = 20.0
! - formation energy (no corrections) (eV/atom) = -0.880
! - energy (eV/atom) = -2.496
&SYSTEM
  ibrav = 0, nat = 80, ntyp = 3
/
ATOMIC_SPECIES
Li 6.94 Li.upf
Mg 24.30 Mg.upf
I 126.90 I.upf
CELL_PARAMETERS angstrom
-9.1449 9.1449 9.1449
9.1449 -9.1449 9.1449
9.1449 9.1449 -9.1449
ATOMIC_POSITIONS crystal
Li 0.1250 0.2500 0.3750
Li 0.1250 0.3750 0.7500
Li 0.2500 0.3750 0.1250
Li 0.2500 0.8750 0.6250
Li 0.3750 0.1250 0.2500
Li 0.3750 0.7500 0.1250
Li 0.6250 0.2500 0.8750
Li 0.6250 0.8750 0.7500
Li 0.7500 0.1250 0.3750
Li 0.7500 0.6250 0.8750
Li 0.8750 0.6250 0.2500
Li 0.8750 0.7500 0.6250
Mg 0.0000 0.0000 0.0000
Mg 0.0000 0.0000 0.5000
Mg 0.0000 0.5000 0.0000
Mg 0.0000 0.5000 0.5000
Mg 0.1250 0.7500 0.8750
Mg 0.1250 0.8750 0.2500
Mg 0.2500 0.1250 0.8750
Mg 0.2500 0.6250 0.3750
Mg 0.3750 0.2500 0.6250
Mg 0.3750 0.6250 0.7500
Mg 0.5000 0.0000 0.0000
Mg 0.5000 0.0000 0.5000
Mg 0.5000 0.5000 0.0000
Mg 0.5000 0.5000 0.5000
Mg 0.6250 0.3750 0.2500
Mg 0.6250 0.7500 0.3750
Mg 0.7500 0.3750 0.6250
Mg 0.7500 0.8750 0.1250
Mg 0.8750 0.1250 0.7500
Mg 0.8750 0.2500 0.1250
I 0.0331 0.2121 0.1244
I 0.0331 0.3210 0.9087
I 0.0877 0.7121 0.6790
I 0.0877 0.8756 0.4087
I 0.0913 0.6244 0.4123
I 0.0913 0.9669 0.6790
I 0.1244 0.0331 0.2121
I 0.1244 0.5913 0.9123
I 0.1790 0.2121 0.5877
I 0.1790 0.4669 0.5913
I 0.2121 0.1244 0.0331
I 0.2121 0.5877 0.1790
I 0.2879 0.3210 0.9123
I 0.2879 0.4669 0.3756
I 0.3210 0.9087 0.0331
I 0.3210 0.9123 0.2879
I 0.3756 0.2879 0.4669
I 0.3756 0.5877 0.9087
I 0.4087 0.0877 0.8756
I 0.4087 0.8210 0.5331
I 0.4123 0.0913 0.6244
I 0.4123 0.8210 0.7879
I 0.4669 0.3756 0.2879
I 0.4669 0.5913 0.1790
I 0.5331 0.4087 0.8210
I 0.5331 0.6244 0.7121
I 0.5877 0.1790 0.2121
I 0.5877 0.9087 0.3756
I 0.5913 0.1790 0.4669
I 0.5913 0.9123 0.1244
I 0.6244 0.4123 0.0913
I 0.6244 0.7121 0.5331
I 0.6790 0.0877 0.7121
I 0.6790 0.0913 0.9669
I 0.7121 0.5331 0.6244
I 0.7121 0.6790 0.0877
I 0.7879 0.4123 0.8210
I 0.7879 0.8756 0.9669
I 0.8210 0.5331 0.4087
I 0.8210 0.7879 0.4123
I 0.8756 0.4087 0.0877
I 0.8756 0.9669 0.7879
I 0.9087 0.0331 0.3210
I 0.9087 0.3756 0.5877
I 0.9123 0.1244 0.5913
I 0.9123 0.2879 0.3210
I 0.9669 0.6790 0.0913
I 0.9669 0.7879 0.8756

***

17.
! Dy3Si6PdRh2 | Alexandria | GGA-PBE | relaxed; values from VASP
! - Fermi-level density of states (states/eV per cell) = 4.7
! - formation energy (no corrections) (eV/atom) = -0.532
! - energy (eV/atom) = -6.052
&SYSTEM
  ibrav = 0, nat = 12, ntyp = 4
/
ATOMIC_SPECIES
Dy 162.50 Dy.upf
Si 28.09 Si.upf
Pd 106.42 Pd.upf
Rh 102.91 Rh.upf
CELL_PARAMETERS angstrom
5.2964 0.0000 0.0000
-2.6482 4.5869 0.0000
0.0000 0.0000 8.9889
ATOMIC_POSITIONS crystal
Dy 0.0000 0.0000 0.0000
Dy 0.3333 0.6667 0.5808
Dy 0.6667 0.3333 0.4192
Si 0.1696 0.3393 0.2739
Si 0.1696 0.8304 0.2739
Si 0.3393 0.1696 0.7261
Si 0.6607 0.8304 0.2739
Si 0.8304 0.1696 0.7261
Si 0.8304 0.6607 0.7261
Pd 0.0000 0.0000 0.5000
Rh 0.3333 0.6667 0.0656
Rh 0.6667 0.3333 0.9344

***

18.
! ScVHgRh2 | Alexandria | GGA-PBE | relaxed; values from VASP
! - Fermi-level density of states (states/eV per cell) = 6.2
! - calculated formation energy (eV/atom) = 1.05
! - energy (eV/atom) = -5.036
&SYSTEM
  ibrav = 0, nat = 5, ntyp = 4
/
ATOMIC_SPECIES
Sc 44.96 Sc.upf
V 50.94 V.upf
Hg 200.59 Hg.upf
Rh 102.91 Rh.upf
CELL_PARAMETERS angstrom
4.5754 0.0000 0.0000
0.0000 4.5754 0.0000
0.0000 0.0000 5.1788
ATOMIC_POSITIONS crystal
Sc 0.0000 0.0000 0.0000
V 0.5000 0.5000 0.5000
Hg 0.0000 0.0000 0.5000
Rh 0.0000 0.5000 0.0000
Rh 0.5000 0.0000 0.0000

***

19.
! MnSnPd6 | Alexandria | GGA-PBE | relaxed; values from VASP
! - E above lowest polymorph (meV per atom) = 0
! - Fermi-level density of states (states/eV per cell) = 7.1
! - calculated formation energy (eV/atom) = -0.36
! - energy (eV/atom) = -5.897
&SYSTEM
  ibrav = 0, nat = 8, ntyp = 3
/
ATOMIC_SPECIES
Mn 54.94 Mn.upf
Sn 118.71 Sn.upf
Pd 106.42 Pd.upf
CELL_PARAMETERS angstrom
4.0001 0.0000 0.0000
0.0000 4.0001 0.0000
0.0000 0.0000 7.8934
ATOMIC_POSITIONS crystal
Mn 0.0000 0.0000 0.0000
Sn 0.0000 0.0000 0.5000
Pd 0.0000 0.5000 0.2440
Pd 0.0000 0.5000 0.7560
Pd 0.5000 0.0000 0.2440
Pd 0.5000 0.0000 0.7560
Pd 0.5000 0.5000 0.0000
Pd 0.5000 0.5000 0.5000

***

20.
! RbAcPb2 | Alexandria | GGA-PBE | relaxed; values from VASP
! - E above lowest polymorph (meV per atom) = 0
! - Fermi-level density of states (states/eV per cell) = 3.8
! - calculated formation energy (eV/atom) = -0.30
! - energy (eV/atom) = -3.421
&SYSTEM
  ibrav = 0, nat = 4, ntyp = 3
/
ATOMIC_SPECIES
Rb 85.47 Rb.upf
Ac 227.00 Ac.upf
Pb 207.20 Pb.upf
CELL_PARAMETERS angstrom
4.4890 0.0000 0.0000
0.0000 4.4890 0.0000
0.0000 0.0000 8.3299
ATOMIC_POSITIONS crystal
Rb 0.0000 0.0000 0.0000
Ac 0.0000 0.0000 0.5000
Pb 0.5000 0.5000 0.3079
Pb 0.5000 0.5000 0.6921

***

21.
! PrScIr | Alexandria | GGA-PBE | relaxed; values from VASP
! - E above lowest polymorph (meV per atom) = 0
! - Fermi-level density of states (states/eV per cell) = 8.5
! - calculated formation energy (eV/atom) = -0.67
! - energy (eV/atom) = -7.328
&SYSTEM
  ibrav = 0, nat = 6, ntyp = 3
/
ATOMIC_SPECIES
Pr 140.91 Pr.upf
Sc 44.96 Sc.upf
Ir 192.22 Ir.upf
CELL_PARAMETERS angstrom
4.5094 0.0000 0.0000
0.0000 4.5229 0.0000
-0.0075 0.0000 6.9863
ATOMIC_POSITIONS crystal
Pr 0.2502 0.2500 0.1351
Pr 0.7498 0.7500 0.8649
Sc 0.2499 0.7500 0.4999
Sc 0.7501 0.2500 0.5001
Ir 0.2507 0.2500 0.7240
Ir 0.7493 0.7500 0.2760